Entry 1:
The following is a DFT calculation (PBE) of crystalline Lu2CdC at its relaxed geometry.

It has space group C2/c (No. 15), with a = 10.4904 Å, b = 6.0497 Å, c = 16.4367 Å, α = 90.00°, β = 102.13° and γ = 90.00°. The distinct sites, in fractional coordinates, are Lu at (0.0547, 0.0823, 0.4143), Lu at (0.1093, 0.4155, 0.5786), Lu at (0.2247, 0.4169, 0.9213), Cd at (0.0000, 0.4384, 0.7500), Cd at (0.2362, 0.1506, 0.7503), C at (0.0817, 0.2451, 0.0000) and C at (0.2500, 0.2500, 0.5000).

Its uncorrected energy is -5.139 eV/atom. The value obtained for the magnetic moment is 1.08 μB per cell.

Entry 2:
The following is a DFT calculation (PBE) of crystalline TaWS4 at its relaxed geometry.

It has space group C2/m (No. 12), with a = 14.3542 Å, b = 3.2929 Å, c = 5.6912 Å, α = 90.00°, β = 113.19° and γ = 90.00°. The distinct sites, in fractional coordinates, are Ta at (0.0000, 0.0000, 0.0000), W at (0.0000, 0.5000, 0.5000), S at (0.1174, 0.0000, 0.4537) and S at (0.1187, 0.5000, 0.9475).

Its uncorrected energy is -7.659 eV/atom. The value obtained for the magnetic moment is 0.00 μB per cell. The offset from the most stable computed form comes out at 153 meV/atom.

Entry 3:
The following is a DFT calculation (PBE) of crystalline InFeNi at its relaxed geometry.

It has space group P-62m (No. 189), with a = 6.2321 Å, b = 6.2321 Å, c = 4.2162 Å, α = 90.00°, β = 90.00° and γ = 120.00°. The distinct sites, in fractional coordinates, are In at (0.0000, 0.0000, 0.0000), In at (0.3333, 0.6667, 0.5000), Fe at (0.0000, 0.4968, 0.0000) and Ni at (0.0000, 0.2298, 0.5000).

Its uncorrected energy is -5.208 eV/atom. The value obtained for the magnetic moment is 8.92 μB per cell. The offset from the most stable computed form comes out at 228 meV/atom.

Entry 4:
The following is a DFT calculation (PBE) of crystalline ErMgCu at its relaxed geometry.

It has space group F-43m (No. 216), with a = 6.7247 Å, b = 6.7247 Å, c = 6.7247 Å, α = 90.00°, β = 90.00° and γ = 90.00°. The distinct sites, in fractional coordinates, are Er at (0.0000, 0.0000, 0.0000), Mg at (0.2500, 0.2500, 0.2500) and Cu at (0.2500, 0.2500, 0.7500).

Its uncorrected energy is -2.717 eV/atom. The value obtained for the magnetic moment is 0.01 μB per cell.

Entry 5:
The following is a DFT calculation (PBE) of crystalline PuHfC2 at its relaxed geometry.

It has space group P4/mmm (No. 123), with a = 3.3502 Å, b = 3.3502 Å, c = 4.7308 Å, α = 90.00°, β = 90.00° and γ = 90.00°. The distinct sites, in fractional coordinates, are Pu at (0.0000, 0.0000, 0.0000), Hf at (0.5000, 0.5000, 0.5000), C at (0.0000, 0.0000, 0.5000) and C at (0.5000, 0.5000, 0.0000).

Its uncorrected energy is -11.035 eV/atom. The value obtained for the magnetic moment is 3.95 μB per cell.

Entry 6:
The following is a DFT calculation (PBE) of crystalline NdHoAg2O4 at its relaxed geometry.

It has space group P-3m1 (No. 164), with a = 3.5719 Å, b = 3.5719 Å, c = 12.5048 Å, α = 90.00°, β = 90.00° and γ = 120.00°. The distinct sites, in fractional coordinates, are Nd at (0.0000, 0.0000, 0.0000), Ho at (0.0000, 0.0000, 0.5000), Ag at (0.3333, 0.6667, 0.2552), O at (0.3333, 0.6667, 0.0902) and O at (0.3333, 0.6667, 0.4204).

Its uncorrected energy is -6.554 eV/atom. The value obtained for the magnetic moment is 0.00 μB per cell.